Entry from the Alexandria database: a relaxed structure of Tl3IO (GGA-PBE).

Cell and atoms, written as CIF:
```
data_Tl3IO
_chemical_formula_sum 'Tl12 I4 O4'
_symmetry_space_group_name_H-M 'C 2 2 21'
_symmetry_Int_Tables_number 20
_symmetry_space_group_name_Hall 'C 2c 2'
_cell_length_a 7.3764
_cell_length_b 12.7714
_cell_length_c 6.5977
_cell_angle_alpha 90.00
_cell_angle_beta 90.00
_cell_angle_gamma 90.00
loop_
_atom_site_label
_atom_site_fract_x
_atom_site_fract_y
_atom_site_fract_z
Tl1 0.0000 0.1579 0.2500
Tl2 0.2366 0.0790 0.7484
I1 0.0000 0.3335 0.7500
O1 0.0007 0.0000 0.0000
```

E_form (uncorrected): -617.4 meV/atom
Offset from the most stable computed form: 0.000 eV/atom
Magnetic moment: 0.00 μB per atom